DFT (PBE) results for a relaxed CuTcW2 crystal.

Lattice parameters (Å, degrees): 5.244 5.125 2.669 80.76 78.75 117.44
Sites, in units of the cell vectors:
W 0.000 0.000 0.000
W 0.500 0.000 0.500
Tc 0.500 0.500 0.000
Cu 0.000 0.500 0.500

energy of formation from the pure elements = 0.25 eV per atom
excess energy over the best structure of this formula in the dataset = 51.4 meV/atom
ρ = 14.7 g cm⁻³